(1)
Below is a relaxed LiZr2Ni2 crystal, with properties calculated at the PBE-GGA level.

Cell: 7.578 7.578 2.999 Å, 90.00 90.00 90.00°
Fractional coordinates of all 10 atoms:
Li (0.000, 0.000, 0.000)
Li (0.500, 0.500, 0.000)
Zr (0.840, 0.660, 0.000)
Zr (0.160, 0.340, 0.000)
Zr (0.340, 0.840, 0.000)
Zr (0.660, 0.160, 0.000)
Ni (0.632, 0.868, 0.500)
Ni (0.868, 0.368, 0.500)
Ni (0.368, 0.132, 0.500)
Ni (0.132, 0.632, 0.500)

Energy of formation (eV per atom): -0.12
Calculated volume (Å³/atom): 17.22
Relative energy among the computed polymorphs (eV per formula unit): 0.68
Symmetry: No. 127

=====

(2)
Below is a relaxed Pr4Ho5Tm2 crystal, with properties calculated at the PBE-GGA level.

Cell: 3.505 9.286 12.504 Å, 111.80 98.06 90.00°
Fractional coordinates of all 11 atoms:
Pr (0.000, 0.708, 0.000)
Pr (0.404, 0.404, 0.807)
Pr (0.000, 0.292, 0.000)
Pr (0.596, 0.596, 0.193)
Ho (0.500, 0.000, 0.000)
Ho (0.150, 0.350, 0.299)
Ho (0.150, 0.949, 0.299)
Ho (0.850, 0.650, 0.701)
Ho (0.850, 0.051, 0.701)
Tm (0.730, 0.730, 0.460)
Tm (0.270, 0.270, 0.540)

Energy of formation (eV per atom): 0.30
Calculated volume (Å³/atom): 33.96
Relative energy among the computed polymorphs (eV per formula unit): 2.10
Symmetry: No. 71

=====

Q: Among the records above, which one has the highest relative energy among the computed polymorphs?
A: Pr4Ho5Tm2

=====

Repeat the first record exactly.
Below is a relaxed LiZr2Ni2 crystal, with properties calculated at the PBE-GGA level.

Cell: 7.578 7.578 2.999 Å, 90.00 90.00 90.00°
Fractional coordinates of all 10 atoms:
Li (0.000, 0.000, 0.000)
Li (0.500, 0.500, 0.000)
Zr (0.840, 0.660, 0.000)
Zr (0.160, 0.340, 0.000)
Zr (0.340, 0.840, 0.000)
Zr (0.660, 0.160, 0.000)
Ni (0.632, 0.868, 0.500)
Ni (0.868, 0.368, 0.500)
Ni (0.368, 0.132, 0.500)
Ni (0.132, 0.632, 0.500)

Energy of formation (eV per atom): -0.12
Calculated volume (Å³/atom): 17.22
Relative energy among the computed polymorphs (eV per formula unit): 0.68
Symmetry: No. 127

=====

Q: The highest energy of formation belongs to which entry?
A: Pr4Ho5Tm2

=====

Q: Which value of energy of formation does entry 1 give?
A: -0.12 eV per atom